[1]
Cd2SbRu: optimized geometry, GGA-PBEsol.

Geometry as CIF:
```
data_Cd2SbRu
_symmetry_space_group_name_H-M 'R -3 m'
_symmetry_Int_Tables_number 166
_symmetry_space_group_name_Hall '-R 3 2"'
_cell_length_a 3.0555
_cell_length_b 3.0555
_cell_length_c 29.5692
_cell_angle_alpha 90.00
_cell_angle_beta 90.00
_cell_angle_gamma 120.00
loop_
_atom_site_label
_atom_site_type_symbol
_atom_site_fract_x
_atom_site_fract_y
_atom_site_fract_z
_atom_site_occupancy
Cd1 Cd 0.0000 0.0000 0.2392 1
Sb1 Sb 0.0000 0.0000 0.0000 1
Ru1 Ru 0.0000 0.0000 0.5000 1
```

Values from the calculation:
The calculation puts the final energy at -15.4 eV per formula unit. The calculation puts the uncorrected formation energy at 0.42 eV/atom.

=====

[2]
CdSbTe2Ru: optimized geometry, GGA-PBEsol.

Geometry as CIF:
```
data_CdSbTe2Ru
_symmetry_space_group_name_H-M 'P 4/m m m'
_symmetry_Int_Tables_number 123
_symmetry_space_group_name_Hall '-P 4 2'
_cell_length_a 5.284
_cell_length_b 5.284
_cell_length_c 4.911
_cell_angle_alpha 90.00
_cell_angle_beta 90.00
_cell_angle_gamma 90.00
loop_
_atom_site_label
_atom_site_type_symbol
_atom_site_fract_x
_atom_site_fract_y
_atom_site_fract_z
_atom_site_occupancy
Cd1 Cd 0.000 0.000 0.000 1
Sb1 Sb 0.500 0.500 0.000 1
Te1 Te 0.000 0.500 0.500 1
Ru1 Ru 0.500 0.500 0.500 1
```

Values from the calculation:
The calculation puts the final energy at -20.8 eV per formula unit. The calculation puts the uncorrected formation energy at 0.44 eV/atom. Its distance to the lowest polymorph of the same formula is 0.0 meV per atom.

=====

[3]
CdSbTe2Ru: optimized geometry, GGA-PBEsol.

Geometry as CIF:
```
data_CdSbTe2Ru
_symmetry_space_group_name_H-M 'P 4/m m m'
_symmetry_Int_Tables_number 123
_symmetry_space_group_name_Hall '-P 4 2'
_cell_length_a 5.408
_cell_length_b 5.408
_cell_length_c 5.289
_cell_angle_alpha 90.00
_cell_angle_beta 90.00
_cell_angle_gamma 90.00
loop_
_atom_site_label
_atom_site_type_symbol
_atom_site_fract_x
_atom_site_fract_y
_atom_site_fract_z
_atom_site_occupancy
Cd1 Cd 0.000 0.000 0.000 1
Sb1 Sb 0.000 0.000 0.500 1
Te1 Te 0.000 0.500 0.000 1
Ru1 Ru 0.500 0.500 0.500 1
```

Values from the calculation:
The calculation puts the final energy at -15.3 eV per formula unit. The calculation puts the uncorrected formation energy at 1.54 eV/atom. Its distance to the lowest polymorph of the same formula is 1099.2 meV per atom.

=====

[4]
Sc2CdRu: optimized geometry, GGA-PBEsol.

Geometry as CIF:
```
data_Sc2CdRu
_symmetry_space_group_name_H-M 'P 4/m m m'
_symmetry_Int_Tables_number 123
_symmetry_space_group_name_Hall '-P 4 2'
_cell_length_a 3.226
_cell_length_b 3.226
_cell_length_c 7.111
_cell_angle_alpha 90.00
_cell_angle_beta 90.00
_cell_angle_gamma 90.00
loop_
_atom_site_label
_atom_site_type_symbol
_atom_site_fract_x
_atom_site_fract_y
_atom_site_fract_z
_atom_site_occupancy
Sc1 Sc 0.000 0.000 0.213 1
Cd1 Cd 0.500 0.500 0.500 1
Ru1 Ru 0.500 0.500 0.000 1
```

Values from the calculation:
The calculation puts the final energy at -26.6 eV per formula unit. For the calculated formation energy, the calculation gives -502 meV/atom.

=====

[5]
ScCdRu: optimized geometry, GGA-PBEsol.

Geometry as CIF:
```
data_ScCdRu
_symmetry_space_group_name_H-M 'F -4 3 m'
_symmetry_Int_Tables_number 216
_symmetry_space_group_name_Hall 'F -4 2 3'
_cell_length_a 6.252
_cell_length_b 6.252
_cell_length_c 6.252
_cell_angle_alpha 90.00
_cell_angle_beta 90.00
_cell_angle_gamma 90.00
loop_
_atom_site_label
_atom_site_type_symbol
_atom_site_fract_x
_atom_site_fract_y
_atom_site_fract_z
_atom_site_occupancy
Sc1 Sc 0.000 0.000 0.000 1
Cd1 Cd 0.000 0.000 0.500 1
Ru1 Ru 0.250 0.250 0.250 1
```

Values from the calculation:
The calculation puts the final energy at -17.5 eV per formula unit. For the calculated formation energy, the calculation gives 168 meV/atom.

=====

[6]
ScCd3Ru: optimized geometry, GGA-PBEsol.

Geometry as CIF:
```
data_ScCd3Ru
_symmetry_space_group_name_H-M 'P m -3 m'
_symmetry_Int_Tables_number 221
_symmetry_space_group_name_Hall '-P 4 2 3'
_cell_length_a 4.994
_cell_length_b 4.994
_cell_length_c 4.994
_cell_angle_alpha 90.00
_cell_angle_beta 90.00
_cell_angle_gamma 90.00
loop_
_atom_site_label
_atom_site_type_symbol
_atom_site_fract_x
_atom_site_fract_y
_atom_site_fract_z
_atom_site_occupancy
Sc1 Sc 0.000 0.000 0.000 1
Cd1 Cd 0.000 0.500 0.500 1
Ru1 Ru 0.500 0.500 0.500 1
```

Values from the calculation:
The calculation puts the final energy at -17.2 eV per formula unit. For the calculated formation energy, the calculation gives 639 meV/atom.